Density functional theory data (GGA-PBEsol) for Ba2ZnCd after structural relaxation.

Geometry as POSCAR:
```
Ba2ZnCd
1.0
5.775 0.000 0.000
2.888 5.002 0.000
2.888 1.667 4.716
Zn Ba Cd
1 2 1
Cartesian
0.000 0.000 0.000
8.663 5.002 3.537
2.888 1.667 1.179
5.775 3.334 2.358
```

Values from the calculation:
- Electronic total energy: -1.97 eV per atom
- Spin magnetization: 0.00 μB/f.u.
- Calculated formation energy: -0.20 eV/atom
- Mass density: 5.52 Mg/m³